Entry from the Alexandria database: crystalline SrTb3Pm2Te6 at its relaxed geometry (GGA-PBE).

abc: 9.9873 9.9873 8.9596
angles: 103.57 103.57 25.72
Closest atoms and distances in Å follow each position.
Fractional coordinates of all 12 atoms:
Sr 0.0000 0.0000 0.0000  6 Te 3.22-3.23
Tb 0.0000 0.0000 0.5000  6 Te 3.07-3.09
Tb 0.3342 0.3342 0.1775  6 Te 3.06-3.18
Tb 0.6658 0.6658 0.8225  6 Te 3.06-3.18
Pm 0.3274 0.3274 0.6537  6 Te 3.12-3.26
Pm 0.6726 0.6726 0.3463  6 Te 3.12-3.26
Te 0.1623 0.1623 0.5866  3 Tb 3.06-3.07, 3 Pm 3.12-3.13
Te 0.1709 0.1709 0.0791  3 Tb 3.09-3.18, 1 Sr 3.23, 2 Pm 3.26
Te 0.4991 0.4991 0.7395  3 Tb 3.09-3.15, 2 Sr 3.22, 1 Pm 3.25
Te 0.5009 0.5009 0.2605  3 Tb 3.09-3.15, 2 Sr 3.22, 1 Pm 3.25
Te 0.8291 0.8291 0.9209  3 Tb 3.09-3.18, 1 Sr 3.23, 2 Pm 3.26
Te 0.8377 0.8377 0.4134  3 Tb 3.06-3.07, 3 Pm 3.12-3.13

Results
Space-group type   C2/m, No. 12
Electronic total energy   -5.066 eV per atom
Density   7.15 g cm⁻³

Entry from the Alexandria database: crystalline SrPm2Tc at its relaxed geometry (GGA-PBE).

abc: 3.5876 3.5876 9.9589
angles: 90.00 90.00 90.00
Closest atoms and distances in Å follow each position.
Fractional coordinates of all 4 atoms:
Sr 0.0000 0.0000 0.0000  4 Sr 3.59
Pm 0.5000 0.5000 0.3336  4 Tc 3.03, 1 Pm 3.31
Pm 0.5000 0.5000 0.6664  4 Tc 3.03, 1 Pm 3.31
Tc 0.0000 0.0000 0.5000  8 Pm 3.03

Results
Calculated formation energy   44.9 kJ/mol of formula units
Space-group type   P4/mmm, No. 123
Electronic total energy   -5.271 eV per atom
Density   6.16 g cm⁻³

Entry from the Alexandria database: crystalline SrPm3Tc at its relaxed geometry (GGA-PBE).

abc: 5.5995 5.5995 5.5995
angles: 90.00 90.00 90.00
Closest atoms and distances in Å follow each position.
Fractional coordinates of all 5 atoms:
Sr 0.0000 0.0000 0.0000  12 Pm 3.96
Pm 0.0000 0.5000 0.5000  2 Tc 2.80
Pm 0.5000 0.0000 0.5000  2 Tc 2.80
Pm 0.5000 0.5000 0.0000  2 Tc 2.80
Tc 0.5000 0.5000 0.5000  6 Pm 2.80

Results
Calculated formation energy   49.1 kJ/mol of formula units
Space-group type   Pm-3m, No. 221
Electronic total energy   -5.158 eV per atom
Density   5.87 g cm⁻³

Entry from the Alexandria database: crystalline Sr3PmTe4 at its relaxed geometry (GGA-PBE).

abc: 9.3625 13.1847 4.6370
angles: 90.00 90.00 90.00
Closest atoms and distances in Å follow each position.
Fractional coordinates of all 16 atoms:
Sr 0.0000 0.0000 0.0000  6 Te 3.36-3.37
Sr 0.2500 0.2500 0.5000  6 Te 3.30
Sr 0.2500 0.7500 0.5000  6 Te 3.30
Sr 0.5000 0.5000 0.0000  6 Te 3.36-3.37
Sr 0.7500 0.2500 0.5000  6 Te 3.30
Sr 0.7500 0.7500 0.5000  6 Te 3.30
Pm 0.0000 0.5000 0.0000  6 Te 3.22-3.23
Pm 0.5000 0.0000 0.0000  6 Te 3.22-3.23
Te 0.0000 0.2556 0.0000  1 Pm 3.22, 5 Sr 3.30-3.37
Te 0.0000 0.7444 0.0000  1 Pm 3.22, 5 Sr 3.30-3.37
Te 0.2406 0.5000 0.5000  2 Pm 3.23, 4 Sr 3.30-3.36
Te 0.2594 0.0000 0.5000  2 Pm 3.23, 4 Sr 3.30-3.36
Te 0.5000 0.2444 0.0000  1 Pm 3.22, 5 Sr 3.30-3.37
Te 0.5000 0.7556 0.0000  1 Pm 3.22, 5 Sr 3.30-3.37
Te 0.7406 0.0000 0.5000  2 Pm 3.23, 4 Sr 3.30-3.36
Te 0.7594 0.5000 0.5000  2 Pm 3.23, 4 Sr 3.30-3.36

Results
Space-group type   Cmmm, No. 65
Electronic total energy   -4.427 eV per atom
Density   5.33 g cm⁻³

Entry from the Alexandria database: crystalline Sr2PmTe3 at its relaxed geometry (GGA-PBE).

abc: 8.0009 8.0009 8.0664
angles: 99.52 99.52 119.97
Closest atoms and distances in Å follow each position.
Fractional coordinates of all 12 atoms:
Sr 0.0000 0.0000 0.0000  6 Te 3.28-3.29
Sr 0.1641 0.8359 0.5000  6 Te 3.29-3.34
Sr 0.5000 0.5000 0.5000  6 Te 3.28-3.34
Sr 0.8359 0.1641 0.5000  6 Te 3.29-3.34
Pm 0.3330 0.6670 0.0000  6 Te 3.21-3.22
Pm 0.6670 0.3330 0.0000  6 Te 3.21-3.22
Te 0.0809 0.4215 0.2417  2 Pm 3.21-3.22, 4 Sr 3.29-3.34
Te 0.2609 0.2609 0.7606  2 Pm 3.21, 4 Sr 3.28-3.32
Te 0.4215 0.0809 0.2417  2 Pm 3.21-3.22, 4 Sr 3.29-3.34
Te 0.5785 0.9191 0.7583  2 Pm 3.21-3.22, 4 Sr 3.29-3.34
Te 0.7391 0.7391 0.2394  2 Pm 3.21, 4 Sr 3.28-3.32
Te 0.9191 0.5785 0.7583  2 Pm 3.21-3.22, 4 Sr 3.29-3.34

Results
Space-group type   C2/m, No. 12
Electronic total energy   -4.523 eV per atom
Density   5.53 g cm⁻³

Entry from the Alexandria database: crystalline Sr2Pm3Te6 at its relaxed geometry (GGA-PBE).

abc: 7.8100 7.8100 8.1276
angles: 99.23 99.23 119.98
Closest atoms and distances in Å follow each position.
Fractional coordinates of all 11 atoms:
Sr 0.1665 0.8335 0.0000  6 Te 3.31
Sr 0.8335 0.1665 0.0000  6 Te 3.31
Pm 0.0000 0.0000 0.5000  6 Te 3.17-3.20
Pm 0.3328 0.6672 0.5000  6 Te 3.17-3.19
Pm 0.6672 0.3328 0.5000  6 Te 3.17-3.19
Te 0.0820 0.4124 0.7372  3 Pm 3.17-3.19, 2 Sr 3.31
Te 0.2571 0.2571 0.2631  3 Pm 3.18-3.20, 2 Sr 3.31
Te 0.4124 0.0820 0.7372  3 Pm 3.17-3.19, 2 Sr 3.31
Te 0.5876 0.9180 0.2628  3 Pm 3.17-3.19, 2 Sr 3.31
Te 0.7429 0.7429 0.7369  3 Pm 3.18-3.20, 2 Sr 3.31
Te 0.9180 0.5876 0.2628  3 Pm 3.17-3.19, 2 Sr 3.31

Results
Space-group type   C2/m, No. 12
Electronic total energy   -4.867 eV per atom
Density   5.62 g cm⁻³

Entry from the Alexandria database: crystalline Sr3Pm4Te8 at its relaxed geometry (GGA-PBE).

abc: 9.1272 9.1272 9.0665
angles: 119.60 119.60 90.15
Closest atoms and distances in Å follow each position.
Fractional coordinates of all 15 atoms:
Sr 0.0000 0.0000 0.0000  6 Te 3.28-3.30
Sr 0.0000 0.5000 0.0000  6 Te 3.22-3.24
Sr 0.5000 0.0000 0.0000  6 Te 3.22-3.24
Pm 0.0000 0.5000 0.5000  6 Te 3.22-3.24
Pm 0.5000 0.0000 0.5000  6 Te 3.22-3.24
Pm 0.5000 0.5000 0.0000  6 Te 3.15-3.18
Pm 0.5000 0.5000 0.5000  6 Te 3.18-3.23
Te 0.2516 0.7484 0.5000  3 Pm 3.21-3.22, 2 Sr 3.24
Te 0.2541 0.2541 0.5089  4 Pm 3.18-3.23, 1 Sr 3.30
Te 0.2539 0.7461 0.0000  3 Pm 3.18-3.24, 3 Sr 3.22-3.28
Te 0.2602 0.2602 0.0089  2 Pm 3.15-3.18, 3 Sr 3.23-3.30
Te 0.7398 0.7398 0.9911  2 Pm 3.15-3.18, 3 Sr 3.23-3.30
Te 0.7461 0.2539 0.0000  3 Pm 3.18-3.24, 3 Sr 3.22-3.28
Te 0.7459 0.7459 0.4911  4 Pm 3.18-3.23, 1 Sr 3.30
Te 0.7484 0.2516 0.5000  3 Pm 3.21-3.22, 2 Sr 3.24

Results
Space-group type   C2/m, No. 12
Electronic total energy   -4.816 eV per atom
Density   5.73 g cm⁻³

Entry from the Alexandria database: crystalline SrPm2Te4 at its relaxed geometry (GGA-PBE).

abc: 7.7066 7.7066 15.4970
angles: 90.00 90.00 146.08
Closest atoms and distances in Å follow each position.
Fractional coordinates of all 14 atoms:
Sr 0.1130 0.8870 0.7500  6 Te 3.28-3.46
Sr 0.8870 0.1130 0.2500  6 Te 3.28-3.46
Pm 0.3653 0.6347 0.5686  6 Te 3.08-3.21
Pm 0.3653 0.6347 0.9314  6 Te 3.08-3.21
Pm 0.6347 0.3653 0.0686  6 Te 3.08-3.21
Pm 0.6347 0.3653 0.4314  6 Te 3.08-3.21
Te 0.0000 0.0000 0.0000  4 Pm 3.18
Te 0.0000 0.0000 0.5000  4 Pm 3.18
Te 0.2733 0.7267 0.1188  3 Pm 3.14-3.21, 2 Sr 3.46
Te 0.2733 0.7267 0.3812  3 Pm 3.14-3.21, 2 Sr 3.46
Te 0.4511 0.5489 0.7500  2 Pm 3.08, 2 Sr 3.28
Te 0.5489 0.4511 0.2500  2 Pm 3.08, 2 Sr 3.28
Te 0.7267 0.2733 0.6188  3 Pm 3.14-3.21, 2 Sr 3.46
Te 0.7267 0.2733 0.8812  3 Pm 3.14-3.21, 2 Sr 3.46

Results
Space-group type   Cmcm, No. 63
Electronic total energy   -4.896 eV per atom
Density   5.74 g cm⁻³

Entry from the Alexandria database: crystalline Sr2PmTe3 at its relaxed geometry (GGA-PBE).

abc: 4.6096 6.5550 13.9647
angles: 90.00 90.00 90.00
Closest atoms and distances in Å follow each position.
Fractional coordinates of all 12 atoms:
Sr 0.0000 0.0000 0.1691  6 Te 3.28-3.32
Sr 0.0000 0.0000 0.8309  6 Te 3.28-3.32
Sr 0.5000 0.5000 0.3309  6 Te 3.28-3.32
Sr 0.5000 0.5000 0.6691  6 Te 3.28-3.32
Pm 0.0000 0.0000 0.5000  6 Te 3.20-3.28
Pm 0.5000 0.5000 0.0000  6 Te 3.20-3.28
Te 0.0000 0.5000 0.1593  2 Pm 3.20, 4 Sr 3.28-3.32
Te 0.0000 0.5000 0.5000  2 Pm 3.28, 4 Sr 3.30
Te 0.0000 0.5000 0.8407  2 Pm 3.20, 4 Sr 3.28-3.32
Te 0.5000 0.0000 0.0000  2 Pm 3.28, 4 Sr 3.30
Te 0.5000 0.0000 0.3407  2 Pm 3.20, 4 Sr 3.28-3.32
Te 0.5000 0.0000 0.6593  2 Pm 3.20, 4 Sr 3.28-3.32

Results
Space-group type   Immm, No. 71
Electronic total energy   -4.518 eV per atom
Density   5.53 g cm⁻³

Entry from the Alexandria database: crystalline Sr4Pm3Te8 at its relaxed geometry (GGA-PBE).

abc: 9.9747 9.9747 9.9747
angles: 54.24 54.24 54.24
Closest atoms and distances in Å follow each position.
Fractional coordinates of all 15 atoms:
Sr 0.0000 0.0000 0.0000  6 Te 3.34, 2 Sr 3.72
Sr 0.1463 0.1463 0.1463  4 Te 3.10-3.25
Sr 0.5000 0.5000 0.5000  6 Te 3.42
Sr 0.8537 0.8537 0.8537  4 Te 3.10-3.25
Pm 0.0000 0.5000 0.5000  6 Te 3.10-3.23
Pm 0.5000 0.0000 0.5000  6 Te 3.10-3.23
Pm 0.5000 0.5000 0.0000  6 Te 3.10-3.23
Te 0.2492 0.2492 0.7312  2 Pm 3.23, 3 Sr 3.25-3.42
Te 0.2492 0.7312 0.2492  2 Pm 3.23, 3 Sr 3.25-3.42
Te 0.2682 0.2682 0.2682  1 Sr 3.10, 3 Pm 3.10
Te 0.2688 0.7508 0.7508  2 Pm 3.23, 3 Sr 3.25-3.42
Te 0.7312 0.2492 0.2492  2 Pm 3.23, 3 Sr 3.25-3.42
Te 0.7318 0.7318 0.7318  1 Sr 3.10, 3 Pm 3.10
Te 0.7508 0.2688 0.7508  2 Pm 3.23, 3 Sr 3.25-3.42
Te 0.7508 0.7508 0.2688  2 Pm 3.23, 3 Sr 3.25-3.42

Results
Space-group type   R-3m, No. 166
Electronic total energy   -4.533 eV per atom
Density   4.94 g cm⁻³

Entry from the Alexandria database: crystalline SrPmTe2 at its relaxed geometry (GGA-PBE).

abc: 7.9236 7.9236 7.9236
angles: 90.00 90.00 90.00
Closest atoms and distances in Å follow each position.
Fractional coordinates of all 16 atoms:
Sr 0.0000 0.0000 0.0000  8 Te 3.43
Sr 0.0000 0.5000 0.5000  8 Te 3.43
Sr 0.5000 0.0000 0.5000  8 Te 3.43
Sr 0.5000 0.5000 0.0000  8 Te 3.43
Pm 0.0000 0.0000 0.5000  8 Te 3.43
Pm 0.0000 0.5000 0.0000  8 Te 3.43
Pm 0.5000 0.0000 0.0000  8 Te 3.43
Pm 0.5000 0.5000 0.5000  8 Te 3.43
Te 0.2500 0.2500 0.2500  4 Pm 3.43, 4 Sr 3.43
Te 0.2500 0.2500 0.7500  4 Sr 3.43, 4 Pm 3.43
Te 0.2500 0.7500 0.2500  4 Sr 3.43, 4 Pm 3.43
Te 0.2500 0.7500 0.7500  4 Pm 3.43, 4 Sr 3.43
Te 0.7500 0.2500 0.2500  4 Sr 3.43, 4 Pm 3.43
Te 0.7500 0.2500 0.7500  4 Pm 3.43, 4 Sr 3.43
Te 0.7500 0.7500 0.2500  4 Pm 3.43, 4 Sr 3.43
Te 0.7500 0.7500 0.7500  4 Sr 3.43, 4 Pm 3.43

Results
Space-group type   Fm-3m, No. 225
Electronic total energy   -4.473 eV per atom
Density   6.51 g cm⁻³

Entry from the Alexandria database: crystalline SrPmTe2 at its relaxed geometry (GGA-PBE).

abc: 3.9452 3.9452 7.9919
angles: 90.00 90.00 90.00
Closest atoms and distances in Å follow each position.
Fractional coordinates of all 4 atoms:
Sr 0.0000 0.0000 0.0000  8 Te 3.50
Pm 0.0000 0.0000 0.5000  8 Te 3.36
Te 0.5000 0.5000 0.2650  4 Pm 3.36, 4 Sr 3.50, 1 Te 3.76
Te 0.5000 0.5000 0.7350  4 Pm 3.36, 4 Sr 3.50, 1 Te 3.76

Results
Space-group type   P4/mmm, No. 123
Electronic total energy   -4.555 eV per atom
Density   6.51 g cm⁻³